ErPaS4 | PBE-GGA | optimized geometry

Cell and atoms, written as POSCAR:
```
ErPaS4
1.0
4.367 -4.449 0.000
4.367 4.449 0.000
0.000 0.000 4.133
Er Pa S
1 1 4
Direct
0.000 0.000 0.000 Er
0.500 0.500 0.500 Pa
0.200 0.200 0.500 S
0.311 0.689 0.000 S
0.689 0.311 0.000 S
0.800 0.800 0.500 S
```

Values from the calculation:
As for the uncorrected formation energy: -1.697 eV/atom. The value obtained for the energy above the most stable polymorph in this dataset is 0.0618 eV per atom. As for the uncorrected energy: -6.79 eV/atom. As for the total magnetization: 0.0 μB per cell. The calculated density comes out at 5.45 Mg/m³.

---

ErPa2S6 | PBE-GGA | optimized geometry

Cell and atoms, written as POSCAR:
```
ErPa2S6
1.0
6.769 -2.569 0.000
6.769 2.569 0.000
-5.132 0.000 7.072
Er Pa S
1 2 6
Direct
0.000 0.000 0.000 Er
0.185 0.185 0.615 Pa
0.815 0.815 0.385 Pa
0.034 0.034 0.719 S
0.253 0.253 0.368 S
0.373 0.373 0.952 S
0.627 0.627 0.048 S
0.747 0.747 0.632 S
0.966 0.966 0.281 S
```

Values from the calculation:
As for the uncorrected formation energy: -1.565 eV/atom. The value obtained for the energy above the most stable polymorph in this dataset is 0.0852 eV per atom. As for the uncorrected energy: -6.93 eV/atom. As for the total magnetization: 1.1 μB per cell. The calculated density comes out at 5.55 Mg/m³.

---

ErPa2S6 | PBE-GGA | optimized geometry

Cell and atoms, written as POSCAR:
```
ErPa2S6
1.0
6.599 0.000 0.000
0.000 6.762 0.000
-4.927 0.000 9.699
Er Pa S
2 4 12
Direct
0.000 0.000 0.000 Er
0.000 0.500 0.500 Er
0.333 0.112 0.784 Pa
0.333 0.388 0.284 Pa
0.667 0.612 0.716 Pa
0.667 0.888 0.216 Pa
0.046 0.090 0.247 S
0.046 0.410 0.747 S
0.285 0.677 0.099 S
0.285 0.823 0.599 S
0.384 0.189 0.061 S
0.384 0.311 0.561 S
0.616 0.689 0.439 S
0.616 0.811 0.939 S
0.715 0.177 0.401 S
0.715 0.323 0.901 S
0.954 0.590 0.253 S
0.954 0.910 0.753 S
```

Values from the calculation:
As for the uncorrected formation energy: -1.650 eV/atom. The value obtained for the energy above the most stable polymorph in this dataset is 0.0000 eV per atom. As for the uncorrected energy: -7.02 eV/atom. As for the total magnetization: 2.2 μB per cell. The calculated density comes out at 6.31 Mg/m³.

---

Er2PaS5 | PBE-GGA | optimized geometry

Cell and atoms, written as POSCAR:
```
Er2PaS5
1.0
11.785 0.000 0.000
0.000 7.852 0.000
0.000 0.000 7.339
Er Pa S
8 4 20
Direct
0.181 0.002 0.015 Er
0.181 0.498 0.015 Er
0.319 0.502 0.515 Er
0.319 0.998 0.515 Er
0.681 0.002 0.485 Er
0.681 0.498 0.485 Er
0.819 0.502 0.985 Er
0.819 0.998 0.985 Er
0.007 0.750 0.576 Pa
0.493 0.250 0.076 Pa
0.507 0.750 0.924 Pa
0.993 0.250 0.424 Pa
0.001 0.250 0.040 S
0.104 0.044 0.662 S
0.104 0.456 0.662 S
0.183 0.750 0.322 S
0.217 0.250 0.297 S
0.283 0.750 0.797 S
0.317 0.250 0.822 S
0.396 0.544 0.162 S
0.396 0.956 0.162 S
0.499 0.750 0.540 S
0.501 0.250 0.460 S
0.604 0.044 0.838 S
0.604 0.456 0.838 S
0.683 0.750 0.178 S
0.717 0.250 0.203 S
0.783 0.750 0.703 S
0.817 0.250 0.678 S
0.896 0.544 0.338 S
0.896 0.956 0.338 S
0.999 0.750 0.960 S
```

Values from the calculation:
As for the uncorrected formation energy: -1.854 eV/atom. As for the uncorrected energy: -6.76 eV/atom. As for the total magnetization: 3.5 μB per cell. The calculated density comes out at 7.10 Mg/m³.

---

ErPaS4 | PBE-GGA | optimized geometry

Cell and atoms, written as POSCAR:
```
ErPaS4
1.0
6.859 0.000 0.000
0.000 4.056 0.000
-2.144 0.000 6.577
Er Pa S
1 1 4
Direct
0.000 0.000 0.000 Er
0.500 0.500 0.000 Pa
0.240 0.500 0.207 S
0.278 0.000 0.789 S
0.722 0.000 0.211 S
0.760 0.500 0.793 S
```

Values from the calculation:
As for the uncorrected formation energy: -1.758 eV/atom. The value obtained for the energy above the most stable polymorph in this dataset is 0.0000 eV per atom. As for the uncorrected energy: -6.85 eV/atom. As for the total magnetization: 0.0 μB per cell. The calculated density comes out at 4.78 Mg/m³.

---

Er6PaS12 | PBE-GGA | optimized geometry

Cell and atoms, written as POSCAR:
```
Er6PaS12
1.0
5.973 3.449 3.729
-5.973 3.449 3.729
0.000 -6.897 3.729
Er Pa S
6 1 12
Direct
0.126 0.824 0.641 Er
0.176 0.359 0.874 Er
0.359 0.874 0.176 Er
0.641 0.126 0.824 Er
0.824 0.641 0.126 Er
0.874 0.176 0.359 Er
0.500 0.500 0.500 Pa
0.078 0.679 0.921 S
0.079 0.922 0.321 S
0.172 0.419 0.541 S
0.321 0.079 0.922 S
0.419 0.541 0.172 S
0.459 0.828 0.581 S
0.541 0.172 0.419 S
0.581 0.459 0.828 S
0.679 0.921 0.078 S
0.828 0.581 0.459 S
0.921 0.078 0.679 S
0.922 0.321 0.079 S
```

Values from the calculation:
As for the uncorrected formation energy: -1.853 eV/atom. As for the uncorrected energy: -6.40 eV/atom. As for the total magnetization: 0.0 μB per cell. The calculated density comes out at 5.83 Mg/m³.

---

Er2PaS6 | PBE-GGA | optimized geometry

Cell and atoms, written as POSCAR:
```
Er2PaS6
1.0
6.322 0.000 0.000
0.000 6.322 0.000
0.000 0.000 12.108
Er Pa S
4 2 12
Direct
0.000 0.000 0.166 Er
0.000 0.000 0.834 Er
0.500 0.500 0.334 Er
0.500 0.500 0.666 Er
0.000 0.000 0.500 Pa
0.500 0.500 0.000 Pa
0.196 0.196 0.337 S
0.196 0.196 0.663 S
0.203 0.203 0.000 S
0.297 0.703 0.500 S
0.304 0.696 0.163 S
0.304 0.696 0.837 S
0.696 0.304 0.163 S
0.696 0.304 0.837 S
0.703 0.297 0.500 S
0.797 0.797 0.000 S
0.804 0.804 0.337 S
0.804 0.804 0.663 S
```

Values from the calculation:
As for the uncorrected formation energy: -1.601 eV/atom. As for the uncorrected energy: -6.42 eV/atom. As for the total magnetization: 0.0 μB per cell. The calculated density comes out at 5.20 Mg/m³.

---

ErPa2S3 | PBE-GGA | optimized geometry

Cell and atoms, written as POSCAR:
```
ErPa2S3
1.0
3.297 -5.750 0.000
3.297 5.750 0.000
-2.224 0.000 6.546
Er Pa S
2 4 6
Direct
0.167 0.833 0.000 Er
0.833 0.167 0.000 Er
0.000 0.000 0.500 Pa
0.333 0.667 0.500 Pa
0.500 0.500 0.000 Pa
0.667 0.333 0.500 Pa
0.082 0.419 0.756 S
0.245 0.245 0.243 S
0.419 0.082 0.756 S
0.581 0.918 0.244 S
0.755 0.755 0.757 S
0.918 0.581 0.244 S
```

Values from the calculation:
As for the uncorrected formation energy: -1.706 eV/atom. As for the uncorrected energy: -7.70 eV/atom. As for the total magnetization: 0.0 μB per cell. The calculated density comes out at 9.71 Mg/m³.

---

Er5PaS6 | PBE-GGA | optimized geometry

Cell and atoms, written as POSCAR:
```
Er5PaS6
1.0
3.349 -5.808 0.000
3.349 5.808 0.000
-2.249 0.000 6.312
Er Pa S
5 1 6
Direct
0.000 0.000 0.000 Er
0.166 0.834 0.500 Er
0.331 0.669 0.000 Er
0.669 0.331 0.000 Er
0.834 0.166 0.500 Er
0.500 0.500 0.500 Pa
0.081 0.417 0.249 S
0.250 0.250 0.754 S
0.417 0.081 0.249 S
0.583 0.919 0.751 S
0.750 0.750 0.246 S
0.919 0.583 0.751 S
```

Values from the calculation:
As for the uncorrected formation energy: -1.876 eV/atom. As for the uncorrected energy: -6.63 eV/atom. As for the total magnetization: 0.0 μB per cell. The calculated density comes out at 8.52 Mg/m³.

---

Er3Sc2PaS6 | PBE-GGA | optimized geometry

Cell and atoms, written as POSCAR:
```
Er3Sc2PaS6
1.0
8.318 -1.896 0.000
8.318 1.896 0.000
-1.726 0.000 7.493
Er Sc Pa S
3 2 1 6
Direct
0.000 0.000 0.000 Er
0.336 0.336 0.668 Er
0.664 0.664 0.332 Er
0.338 0.338 0.177 Sc
0.662 0.662 0.823 Sc
0.000 0.000 0.500 Pa
0.170 0.170 0.591 S
0.172 0.172 0.075 S
0.497 0.497 0.242 S
0.503 0.503 0.758 S
0.828 0.828 0.925 S
0.830 0.830 0.409 S
```

Values from the calculation:
As for the uncorrected formation energy: -1.846 eV/atom. As for the uncorrected energy: -6.90 eV/atom. As for the total magnetization: 0.0 μB per cell. The calculated density comes out at 7.13 Mg/m³.

---

Er2ScPaS4 | PBE-GGA | optimized geometry

Cell and atoms, written as POSCAR:
```
Er2ScPaS4
1.0
6.642 0.000 0.000
0.000 3.805 0.000
-2.167 0.000 6.310
Er Sc Pa S
2 1 1 4
Direct
0.000 0.000 0.000 Er
0.000 0.500 0.500 Er
0.500 0.000 0.500 Sc
0.500 0.500 0.000 Pa
0.249 0.000 0.741 S
0.256 0.500 0.260 S
0.744 0.500 0.740 S
0.751 0.000 0.259 S
```

Values from the calculation:
As for the uncorrected formation energy: -1.817 eV/atom. As for the uncorrected energy: -7.00 eV/atom. As for the total magnetization: 0.0 μB per cell. The calculated density comes out at 7.69 Mg/m³.

---

Er2Sc3PaS6 | PBE-GGA | optimized geometry

Cell and atoms, written as POSCAR:
```
Er2Sc3PaS6
1.0
8.260 -1.880 0.000
8.260 1.880 0.000
-1.738 0.000 7.422
Er Sc Pa S
2 3 1 6
Direct
0.163 0.163 0.328 Er
0.837 0.837 0.672 Er
0.165 0.165 0.839 Sc
0.500 0.500 0.500 Sc
0.835 0.835 0.161 Sc
0.500 0.500 0.000 Pa
0.004 0.004 0.737 S
0.328 0.328 0.921 S
0.334 0.334 0.409 S
0.666 0.666 0.591 S
0.672 0.672 0.079 S
0.996 0.996 0.263 S
```

Values from the calculation:
As for the uncorrected formation energy: -1.834 eV/atom. As for the uncorrected energy: -7.03 eV/atom. As for the total magnetization: 0.0 μB per cell. The calculated density comes out at 6.43 Mg/m³.